Arrangement P

Compound: Pr2CuAg
Source: Alexandria via LeMat-Bulk
Functional: PBE-GGA
Structure: optimized geometry

Output
- DOS at the Fermi energy (states/eV/atom) = 0.98
- V (Å³ per cell) = 101.5
- space-group type = P4/mmm

Unit cell a=3.697 b=3.697 c=7.426 alpha=90.00 beta=90.00 gamma=90.00
Element x y z (fractional)
Cu 0.000 0.000 0.500
Pr 0.500 0.500 0.265
Pr 0.500 0.500 0.735
Ag 0.000 0.000 0.000

=====

Arrangement Q

Compound: Pr2CuAg
Source: Alexandria via LeMat-Bulk
Functional: PBE-GGA
Structure: optimized geometry

Output
- DOS at the Fermi energy (states/eV/atom) = 0.97
- V (Å³ per cell) = 102.4
- space-group type = Fm-3m

Unit cell a=5.251 b=5.251 c=5.251 alpha=60.00 beta=60.00 gamma=60.00
Element x y z (fractional)
Pr 0.750 0.750 0.750
Pr 0.250 0.250 0.250
Cu 0.000 0.000 0.000
Ag 0.500 0.500 0.500

=====

Winner for stability: arrangement P

=====

Arrangement P

Compound: PrCuAg2
Source: Alexandria via LeMat-Bulk
Functional: PBE-GGA
Structure: optimized geometry

Output
- DOS at the Fermi energy (states/eV/atom) = 0.62
- V (Å³ per cell) = 167.9
- space-group type = C2/c

Unit cell a=5.375 b=5.412 c=7.216 alpha=67.97 beta=79.08 gamma=59.66
Element x y z (fractional)
Pr 0.250 0.136 0.728
Pr 0.750 0.864 0.272
Ag 0.409 0.587 0.169
Ag 0.909 0.756 0.831
Ag 0.091 0.244 0.169
Ag 0.591 0.413 0.831
Cu 0.750 0.249 0.502
Cu 0.250 0.751 0.498

=====

Arrangement Q

Compound: PrCuAg2
Source: Alexandria via LeMat-Bulk
Functional: PBE-GGA
Structure: optimized geometry

Output
- DOS at the Fermi energy (states/eV/atom) = 0.54
- V (Å³ per cell) = 83.3
- space-group type = P4/mmm

Unit cell a=3.462 b=3.462 c=6.949 alpha=90.00 beta=90.00 gamma=90.00
Element x y z (fractional)
Cu 0.500 0.500 0.000
Pr 0.500 0.500 0.500
Ag 0.000 0.000 0.197
Ag 0.000 0.000 0.803

=====

Winner for stability: arrangement P

=====

Arrangement P

Compound: PrCuAg2
Source: Alexandria via LeMat-Bulk
Functional: PBE-GGA
Structure: optimized geometry

Output
- DOS at the Fermi energy (states/eV/atom) = 0.59
- V (Å³ per cell) = 86.2
- space-group type = Fm-3m

Unit cell a=4.957 b=4.957 c=4.957 alpha=60.00 beta=60.00 gamma=60.00
Element x y z (fractional)
Pr 0.000 0.000 0.000
Ag 0.250 0.250 0.250
Ag 0.750 0.750 0.750
Cu 0.500 0.500 0.500

=====

Arrangement Q

Compound: PrCuAg2
Source: Alexandria via LeMat-Bulk
Functional: PBE-GGA
Structure: optimized geometry

Output
- DOS at the Fermi energy (states/eV/atom) = 0.57
- V (Å³ per cell) = 87.8
- space-group type = R-3m

Unit cell a=4.579 b=4.579 c=5.512 alpha=65.46 beta=65.46 gamma=60.00
Element x y z (fractional)
Cu 0.500 0.500 0.500
Ag 0.214 0.214 0.359
Ag 0.786 0.786 0.641
Pr 0.000 0.000 0.000

=====

Winner for stability: arrangement Q

=====

Arrangement P

Compound: Pr4Cu2Ag
Source: Alexandria via LeMat-Bulk
Functional: PBE-GGA
Structure: optimized geometry

Output
- DOS at the Fermi energy (states/eV/atom) = 1.33
- V (Å³ per cell) = 198.2
- space-group type = R-3m

Unit cell a=5.013 b=5.013 c=9.558 alpha=74.80 beta=74.80 gamma=60.00
Element x y z (fractional)
Pr 0.880 0.880 0.360
Pr 0.705 0.705 0.884
Pr 0.120 0.120 0.640
Pr 0.295 0.295 0.116
Ag 0.500 0.500 0.500
Cu 0.597 0.597 0.209
Cu 0.403 0.403 0.791

=====

Arrangement Q

Compound: Pr4Cu2Ag
Source: Alexandria via LeMat-Bulk
Functional: PBE-GGA
Structure: optimized geometry

Output
- DOS at the Fermi energy (states/eV/atom) = 1.35
- V (Å³ per cell) = 191.6
- space-group type = R-3m

Unit cell a=5.165 b=5.165 c=8.813 alpha=72.96 beta=72.96 gamma=60.00
Site moments in Bohr magnetons follow the coordinates.
Element x y z (fractional)
Pr 0.130 0.130 0.610  0.12
Pr 0.381 0.381 0.858  0.06
Pr 0.870 0.870 0.390  0.12
Pr 0.619 0.619 0.142  0.06
Ag 0.000 0.000 0.000  0.01
Cu 0.252 0.252 0.245  0.02
Cu 0.748 0.748 0.755  0.02

=====

Winner for stability: arrangement Q

=====

Arrangement P

Compound: PrTmCuAg
Source: Alexandria via LeMat-Bulk
Functional: PBE-GGA
Structure: optimized geometry

Output
- DOS at the Fermi energy (states/eV/atom) = 1.05
- V (Å³ per cell) = 95.0
- space-group type = F-43m

Unit cell a=5.121 b=5.121 c=5.121 alpha=60.00 beta=60.00 gamma=60.00
Element x y z (fractional)
Pr 0.750 0.750 0.750
Ag 0.000 0.000 0.000
Tm 0.250 0.250 0.250
Cu 0.500 0.500 0.500

=====

Arrangement Q

Compound: PrTmCuAg
Source: Alexandria via LeMat-Bulk
Functional: PBE-GGA
Structure: optimized geometry

Output
- DOS at the Fermi energy (states/eV/atom) = 0.50
- V (Å³ per cell) = 93.4
- space-group type = P4mm

Unit cell a=3.553 b=3.553 c=7.399 alpha=90.00 beta=90.00 gamma=90.00
Element x y z (fractional)
Tm 0.000 0.000 0.371
Pr 0.000 0.000 0.844
Ag 0.500 0.500 0.135
Cu 0.500 0.500 0.578

=====

Winner for stability: arrangement Q

=====

Arrangement P

Compound: PrYCuAg
Source: Alexandria via LeMat-Bulk
Functional: PBE-GGA
Structure: optimized geometry

Output
- DOS at the Fermi energy (states/eV/atom) = 1.09
- V (Å³ per cell) = 97.2
- space-group type = F-43m

Unit cell a=5.162 b=5.162 c=5.162 alpha=60.00 beta=60.00 gamma=60.00
Element x y z (fractional)
Cu 0.000 0.000 0.000
Y 0.750 0.750 0.750
Pr 0.250 0.250 0.250
Ag 0.500 0.500 0.500

=====

Arrangement Q

Compound: PrYCuAg
Source: Alexandria via LeMat-Bulk
Functional: PBE-GGA
Structure: optimized geometry

Output
- DOS at the Fermi energy (states/eV/atom) = 0.62
- V (Å³ per cell) = 96.0
- space-group type = P4mm

Unit cell a=3.606 b=3.606 c=7.383 alpha=90.00 beta=90.00 gamma=90.00
Element x y z (fractional)
Ag 0.500 0.500 0.127
Cu 0.500 0.500 0.587
Pr 0.000 0.000 0.844
Y 0.000 0.000 0.370

=====

Winner for stability: arrangement Q

=====

Arrangement P

Compound: Cu2AgPt
Source: Alexandria via LeMat-Bulk
Functional: PBE-GGA
Structure: optimized geometry

Output
- DOS at the Fermi energy (states/eV/atom) = 0.34
- V (Å³ per cell) = 58.6
- space-group type = F-43m

Unit cell a=4.361 b=4.361 c=4.358 alpha=59.98 beta=59.98 gamma=60.00
Element x y z (fractional)
Ag 0.500 0.500 0.500
Cu 0.000 0.000 0.000
Cu 0.250 0.250 0.250
Pt 0.750 0.750 0.750

=====

Arrangement Q

Compound: Cu2AgPt
Source: Alexandria via LeMat-Bulk
Functional: PBE-GGA
Structure: optimized geometry

Output
- DOS at the Fermi energy (states/eV/atom) = 0.38
- V (Å³ per cell) = 129.3
- space-group type = I-42d

Unit cell a=3.812 b=3.812 c=9.300 alpha=78.17 beta=78.17 gamma=90.00
Element x y z (fractional)
Pt 0.000 0.000 0.000
Pt 0.750 0.250 0.500
Cu 0.105 0.625 0.250
Cu 0.875 0.895 0.750
Cu 0.375 0.355 0.750
Cu 0.645 0.125 0.250
Ag 0.500 0.500 0.000
Ag 0.250 0.750 0.500

=====

Winner for stability: arrangement P

=====

Arrangement P

Compound: Cu2AgPt
Source: Alexandria via LeMat-Bulk
Functional: PBE-GGA
Structure: optimized geometry

Output
- DOS at the Fermi energy (states/eV/atom) = 0.38
- V (Å³ per cell) = 58.7
- space-group type = Pmmm

Unit cell a=2.951 b=4.563 c=4.358 alpha=90.00 beta=90.00 gamma=90.00
Element x y z (fractional)
Ag 0.000 0.500 0.500
Pt 0.500 0.000 0.500
Cu 0.500 0.500 0.000
Cu 0.000 0.000 0.000

=====

Arrangement Q

Compound: Cu2AgPt
Source: Alexandria via LeMat-Bulk
Functional: PBE-GGA
Structure: optimized geometry

Output
- DOS at the Fermi energy (states/eV/atom) = 0.27
- V (Å³ per cell) = 58.6
- space-group type = C2/m

Unit cell a=4.571 b=4.571 c=4.900 alpha=80.46 beta=80.46 gamma=35.56
Element x y z (fractional)
Ag 0.250 0.250 0.250
Cu 0.004 0.004 0.983
Cu 0.496 0.496 0.517
Pt 0.750 0.750 0.750

=====

Arrangement R

Compound: Cu2AgPt
Source: Alexandria via LeMat-Bulk
Functional: PBE-GGA
Structure: optimized geometry

Output
- DOS at the Fermi energy (states/eV/atom) = 0.30
- V (Å³ per cell) = 57.4
- space-group type = Imm2

Unit cell a=5.205 b=5.205 c=5.205 alpha=147.73 beta=129.73 gamma=61.00
Element x y z (fractional)
Cu 0.987 0.987 0.000
Cu 0.759 0.259 0.500
Pt 0.513 0.513 0.000
Ag 0.240 0.740 0.500

=====

Arrangement S

Compound: Cu2AgPt
Source: Alexandria via LeMat-Bulk
Functional: PBE-GGA
Structure: optimized geometry

Output
- DOS at the Fermi energy (states/eV/atom) = 0.29
- V (Å³ per cell) = 57.2
- space-group type = Fm-3m

Unit cell a=4.325 b=4.325 c=4.325 alpha=60.00 beta=60.00 gamma=60.00
Element x y z (fractional)
Cu 0.750 0.750 0.750
Cu 0.250 0.250 0.250
Pt 0.500 0.500 0.500
Ag 0.000 0.000 0.000

=====

Winner for stability: arrangement S